(1)
## InAuBr2 (meta-GGA SCAN)

Data for InAuBr2 at its PBEsol-relaxed geometry. Values from VASP.

The structure in Quantum ESPRESSO input format:
```
&SYSTEM
  ibrav = 0, nat = 4, ntyp = 3
/
ATOMIC_SPECIES
In 114.82 In.upf
Au 196.97 Au.upf
Br 79.90 Br.upf
CELL_PARAMETERS angstrom
4.226 0.000 0.000
0.000 4.226 0.000
0.000 0.000 5.919
ATOMIC_POSITIONS crystal
In 0.000 0.000 0.000
Au 0.500 0.500 0.500
Br 0.000 0.000 0.500
Br 0.500 0.500 0.000
```

## Properties
relative energy among the computed polymorphs	12.8	meV per atom
formation energy from raw total energies	-0.087	eV per atom
symmetry	P4/mmm (123)

(2)
## ZnMo2Os (meta-GGA SCAN)

Data for ZnMo2Os at its PBEsol-relaxed geometry. Values from VASP.

The structure in Quantum ESPRESSO input format:
```
&SYSTEM
  ibrav = 0, nat = 4, ntyp = 3
/
ATOMIC_SPECIES
Zn 65.41 Zn.upf
Mo 95.94 Mo.upf
Os 190.23 Os.upf
CELL_PARAMETERS angstrom
2.764 0.000 0.000
0.000 4.409 0.000
0.000 0.000 4.739
ATOMIC_POSITIONS crystal
Zn 0.000 0.000 0.000
Mo 0.500 0.000 0.498
Mo 0.500 0.500 0.165
Os 0.000 0.500 0.674
```

## Properties
symmetry	Pmm2 (25)
energy of formation from the pure elements	78.1	meV/atom

(3)
## LaMg2In (meta-GGA SCAN)

Data for LaMg2In at its PBEsol-relaxed geometry. Values from VASP.

The structure in Quantum ESPRESSO input format:
```
&SYSTEM
  ibrav = 0, nat = 4, ntyp = 3
/
ATOMIC_SPECIES
La 138.91 La.upf
Mg 24.30 Mg.upf
In 114.82 In.upf
CELL_PARAMETERS angstrom
3.462 0.000 0.000
0.000 3.462 0.000
0.000 0.000 8.617
ATOMIC_POSITIONS crystal
La 0.000 0.000 0.000
Mg 0.500 0.500 0.285
Mg 0.500 0.500 0.715
In 0.000 0.000 0.500
```

## Properties
symmetry	P4/mmm (123)
energy of formation from the pure elements	-203.5	meV/atom

(4)
## SnPdRhSe2 (meta-GGA SCAN)

Data for SnPdRhSe2 at its PBEsol-relaxed geometry. Values from VASP.

The structure in Quantum ESPRESSO input format:
```
&SYSTEM
  ibrav = 0, nat = 5, ntyp = 4
/
ATOMIC_SPECIES
Sn 118.71 Sn.upf
Pd 106.42 Pd.upf
Rh 102.91 Rh.upf
Se 78.96 Se.upf
CELL_PARAMETERS angstrom
5.100 0.000 0.000
0.000 5.100 0.000
0.000 0.000 4.834
ATOMIC_POSITIONS crystal
Sn 0.000 0.000 0.000
Pd 0.500 0.500 0.500
Rh 0.000 0.000 0.500
Se 0.000 0.500 0.000
Se 0.500 0.000 0.000
```

## Properties
formation energy from raw total energies	1.065	eV per atom
symmetry	P4/mmm (123)

(5)
## TaAs2Cl (meta-GGA SCAN)

Data for TaAs2Cl at its PBEsol-relaxed geometry. Values from VASP.

The structure in Quantum ESPRESSO input format:
```
&SYSTEM
  ibrav = 0, nat = 8, ntyp = 3
/
ATOMIC_SPECIES
Ta 180.95 Ta.upf
As 74.92 As.upf
Cl 35.45 Cl.upf
CELL_PARAMETERS angstrom
4.947 0.000 0.000
0.000 9.751 0.000
0.000 0.000 2.933
ATOMIC_POSITIONS crystal
Ta 0.000 0.000 0.000
Ta 0.500 0.500 0.000
As 0.250 0.250 0.500
As 0.250 0.750 0.500
As 0.750 0.250 0.500
As 0.750 0.750 0.500
Cl 0.000 0.500 0.000
Cl 0.500 0.000 0.000
```

## Properties
relative energy among the computed polymorphs	0.0	meV per atom
formation energy from raw total energies	0.228	eV per atom
symmetry	Cmmm (65)

(6)
## TaAs2PtSe (meta-GGA SCAN)

Data for TaAs2PtSe at its PBEsol-relaxed geometry. Values from VASP.

The structure in Quantum ESPRESSO input format:
```
&SYSTEM
  ibrav = 0, nat = 5, ntyp = 4
/
ATOMIC_SPECIES
Ta 180.95 Ta.upf
As 74.92 As.upf
Pt 195.08 Pt.upf
Se 78.96 Se.upf
CELL_PARAMETERS angstrom
4.766 0.000 0.000
0.000 4.766 0.000
0.000 0.000 4.584
ATOMIC_POSITIONS crystal
Ta 0.000 0.000 0.000
As 0.000 0.500 0.500
As 0.500 0.000 0.500
Pt 0.500 0.500 0.000
Se 0.500 0.500 0.500
```

## Properties
formation energy from raw total energies	1.277	eV per atom
symmetry	P4/mmm (123)

Number 1: VASP energy -141.81 eV per cell. Number 2: VASP energy -154.85 eV per cell. Number 3: VASP energy -87.25 eV per cell. Number 4: VASP energy -137.30 eV per cell. Number 5: VASP energy -228.06 eV per cell. Number 6: VASP energy -190.85 eV per cell.